Entry 1:
{
  "formula": "AsHWSe2",
  "functional": "GGA-PBE",
  "state": "relaxed",
  "lattice": [[-2.6185, -0.1577, 3.9113], [2.8419, -3.3127, 1.7689], [1.9302, 2.3975, 1.3889]],
  "species": ["H", "As", "Se", "Se", "W"],
  "fractional_positions": [[0.0000, 0.0000, 0.0000], [0.0000, 0.0000, 0.5000], [0.0000, 0.5000, 0.0000], [0.5000, 0.0000, 0.0000], [0.5000, 0.5000, 0.5000]],
  "e_above_lowest_polymorph_kcal_per_mol_atoms": 2.94,
  "mass_density_g_cm3": 9.26
}

Entry 2:
{
  "formula": "As2HWSe",
  "functional": "GGA-PBE",
  "state": "relaxed",
  "lattice": [[-0.6289, -4.7153, -1.2798], [4.8322, -0.7909, 0.5394], [-0.7174, -1.1794, 4.6978]],
  "species": ["H", "As", "As", "Se", "W"],
  "fractional_positions": [[0.5000, 0.5000, 0.5000], [0.0000, 0.5000, 0.0000], [0.5000, 0.0000, 0.0000], [0.0000, 0.0000, 0.5000], [0.0000, 0.0000, 0.0000]],
  "e_above_lowest_polymorph_kcal_per_mol_atoms": 0.00,
  "mass_density_g_cm3": 5.78
}